# 1
A geometry-optimized Tl2AsRh structure. Source: the Alexandria database, functional GGA-PBEsol.

Computed properties:
The value obtained for the formation energy from the elements is 354.3 meV/atom. Its crystal system is cubic. Its polymorph energy (0 for the lowest one) is 40.0 kJ per mole of atoms. The total moment is 0.000 μB/f.u. Its space group is No. 216.

POSCAR file:
```
Tl2AsRh
1.0
6.860 0.000 0.000
0.000 6.860 0.000
0.000 0.000 6.860
Tl As Rh
8 4 4
Cartesian
0.000 0.000 0.000 Tl
0.000 3.430 3.430 Tl
1.715 1.715 1.715 Tl
1.715 5.145 5.145 Tl
3.430 0.000 3.430 Tl
3.430 3.430 0.000 Tl
5.145 1.715 5.145 Tl
5.145 5.145 1.715 Tl
1.715 1.715 5.145 As
1.715 5.145 1.715 As
5.145 1.715 1.715 As
5.145 5.145 5.145 As
0.000 0.000 3.430 Rh
0.000 3.430 0.000 Rh
3.430 0.000 0.000 Rh
3.430 3.430 3.430 Rh
```

# 2
A geometry-optimized Tl2AsRh structure. Source: the Alexandria database, functional GGA-PBEsol.

Computed properties:
The value obtained for the formation energy from the elements is -60.7 meV/atom. Its crystal system is monoclinic. Its polymorph energy (0 for the lowest one) is 0.0 kJ per mole of atoms. The total moment is 0.000 μB/f.u. Its space group is No. 8.

POSCAR file:
```
Tl2AsRh
1.0
8.257 0.000 0.000
0.000 3.331 0.000
-2.228 0.000 6.715
Tl As Rh
4 2 2
Cartesian
0.000 0.000 0.000 Tl
0.001 0.000 4.534 Tl
4.129 1.665 0.000 Tl
4.130 1.665 4.534 Tl
2.430 0.000 2.263 As
6.558 1.665 2.263 As
0.757 1.665 2.273 Rh
4.886 0.000 2.273 Rh
```